Entry 1:
VASP calculation (GGA-PBE) on Rb2Si2SnSe6 after structural relaxation.

Results
formation energy from raw total energies	-621	kJ/mol of formula units

Lattice parameters (Å, degrees): 7.4700 7.4700 24.7185 90.00 90.00 120.00
With the nearest neighbours (Å) after each atom.
Space group R-3m (No. 166, hexagonal axes)
Symmetry-distinct sites (fractional):
Rb (0.0000, 0.0000, 0.2214) (multiplicity 6)  9 Se 3.79-3.94
Si (0.0000, 0.0000, 0.4150) (multiplicity 6)  3 Se 2.20
Sn (0.0000, 0.0000, 0.0000) (multiplicity 3)  6 Se 3.01
Se (0.0063, 0.5031, 0.7535) (multiplicity 18)  1 Si 2.20

Entry 2:
VASP calculation (GGA-PBE) on Ba2YNiN after structural relaxation.

Results
formation energy from raw total energies	67	kJ/mol of formula units

Lattice parameters (Å, degrees): 6.1461 6.1461 3.6015 90.00 90.00 90.00
With the nearest neighbours (Å) after each atom.
Space group P4/mmm (No. 123)
Symmetry-distinct sites (fractional):
Ba (0.0000, 0.5000, 0.0000) (multiplicity 2)  2 N 3.07
Y (0.0000, 0.0000, 0.5000) (multiplicity 1)  8 Ba 3.56, 2 Y 3.60
Ni (0.5000, 0.5000, 0.5000) (multiplicity 1)  2 N 1.80
N (0.5000, 0.5000, 0.0000) (multiplicity 1)  2 Ni 1.80

Entry 3:
VASP calculation (GGA-PBE) on BeAl4Mo after structural relaxation.

Results
E_form	183.1	meV/atom

Lattice parameters (Å, degrees): 7.1034 7.1034 7.1034 90.00 90.00 90.00
With the nearest neighbours (Å) after each atom.
Space group F-43m (No. 216)
Symmetry-distinct sites (fractional):
Be (0.0000, 0.0000, 0.0000) (multiplicity 4)  12 Al 2.94, 4 Mo 3.08
Al (0.1253, 0.1253, 0.3747) (multiplicity 16)  6 Al 2.51-2.52
Mo (0.2500, 0.2500, 0.7500) (multiplicity 4)  12 Al 2.95, 4 Be 3.08

Entry 4:
VASP calculation (GGA-PBE) on Re2SbAuI after structural relaxation.

Results
formation energy from raw total energies	1116	kJ/mol of formula units

Lattice parameters (Å, degrees): 5.0282 5.0282 6.0187 90.00 90.00 90.00
With the nearest neighbours (Å) after each atom.
Space group P4/mmm (No. 123)
Symmetry-distinct sites (fractional):
Re (0.0000, 0.5000, 0.0000) (multiplicity 2)  2 Sb 2.51
Sb (0.0000, 0.0000, 0.0000) (multiplicity 1)  4 Re 2.51
Au (0.5000, 0.5000, 0.5000) (multiplicity 1)  4 I 3.56, 8 Re 3.92
I (0.0000, 0.0000, 0.5000) (multiplicity 1)  2 Sb 3.01

Entry 5:
VASP calculation (GGA-PBE) on Be2IrAu after structural relaxation.

Results
E_form	-204.5	meV/atom

Lattice parameters (Å, degrees): 2.9807 3.3228 10.2427 90.00 90.00 90.00
With the nearest neighbours (Å) after each atom.
Space group Imm2 (No. 44)
Symmetry-distinct sites (fractional):
Be (0.0000, 0.0000, 0.0000) (multiplicity 2)  2 Ir 2.25, 4 Au 2.40
Be (0.0000, 0.5000, 0.2316) (multiplicity 2)  4 Ir 2.33, 2 Au 2.49
Ir (0.0000, 0.5000, 0.6650) (multiplicity 2)  6 Be 2.25-2.33
Au (0.0000, 0.0000, 0.4130) (multiplicity 2)  6 Be 2.40-2.49

Entry 6:
VASP calculation (GGA-PBE) on NbNi3Pt2 after structural relaxation.

Results
E_form	-260.6	meV/atom
relative energy among the computed polymorphs	0	meV per atom

Lattice parameters (Å, degrees): 5.3194 8.4139 14.7619 90.00 90.00 90.00
With the nearest neighbours (Å) after each atom.
Space group Fmmm (No. 69)
Symmetry-distinct sites (fractional):
Nb (0.0000, 0.0000, 0.1661) (multiplicity 8)  5 Ni 2.50-2.66, 6 Pt 2.78-2.79
Ni (0.0000, 0.0000, 0.3373) (multiplicity 8)  2 Ni 2.38, 3 Nb 2.53-2.66
Ni (0.0000, 0.2440, 0.4193) (multiplicity 16)  4 Ni 2.38-2.66, 1 Nb 2.50
Pt (0.2504, 0.0000, 0.0000) (multiplicity 8)  2 Pt 2.66, 10 Ni 2.72-2.80, 2 Nb 2.79
Pt (0.2500, 0.2500, 0.2500) (multiplicity 8)  2 Pt 2.66, 4 Nb 2.78, 8 Ni 2.80-2.83

Entry 7:
VASP calculation (GGA-PBE) on Ho3GaSn2 after structural relaxation.

Results
E_form	-635.3	meV/atom

Lattice parameters (Å, degrees): 12.1712 4.4015 11.7358 90.00 90.00 90.00
With the nearest neighbours (Å) after each atom.
Space group Pnma (No. 62)
Symmetry-distinct sites (fractional):
Ho (0.0494, 0.2500, 0.1219) (multiplicity 4)  1 Ga 3.03, 5 Sn 3.07-3.25
Ho (0.1257, 0.7500, 0.5584) (multiplicity 4)  5 Sn 3.13-3.26, 3 Ga 3.16-3.27
Ho (0.2201, 0.2500, 0.7957) (multiplicity 4)  2 Ga 2.95, 1 Sn 3.02
Ga (0.1331, 0.2500, 0.3654) (multiplicity 4)  3 Sn 2.76-2.77, 3 Ho 2.95-3.03
Sn (0.0057, 0.7500, 0.3103) (multiplicity 4)  2 Ga 2.77, 1 Ho 3.02
Sn (0.1865, 0.7500, 0.0077) (multiplicity 4)  1 Ga 2.76, 2 Ho 3.07

Entry 8:
VASP calculation (GGA-PBE) on Fe5Ni4 after structural relaxation.

Results
E_form	-1.8	meV/atom
relative energy among the computed polymorphs	14	meV per atom

Lattice parameters (Å, degrees): 7.6632 7.6632 3.4928 90.00 90.00 90.00
With the nearest neighbours (Å) after each atom.
Space group I4/mmm (No. 139)
Symmetry-distinct sites (fractional):
Fe (0.0000, 0.0000, 0.0000) (multiplicity 2)  8 Fe 2.53, 4 Ni 2.57
Fe (0.1689, 0.1689, 0.5000) (multiplicity 8)  6 Fe 2.48-2.59, 6 Ni 2.52-2.54
Ni (0.0000, 0.3353, 0.0000) (multiplicity 8)  5 Ni 2.50-2.52, 7 Fe 2.52-2.57

Entry 9:
VASP calculation (GGA-PBE) on Cs2Tl4InPb3 after structural relaxation.

Results
E_form	-68.0	meV/atom

Lattice parameters (Å, degrees): 5.3078 5.3078 13.5269 90.00 90.00 90.00
With the nearest neighbours (Å) after each atom.
Space group P-4m2 (No. 115)
Symmetry-distinct sites (fractional):
Cs (0.0000, 0.5000, 0.2469) (multiplicity 2)  6 Pb 4.07-4.33, 8 Tl 4.10-4.27, 2 In 4.33
Tl (0.0000, 0.0000, 0.0000) (multiplicity 1)  4 Pb 3.19
Tl (0.0000, 0.5000, 0.6315) (multiplicity 2)  2 In 3.20, 3 Pb 3.20-3.21
Tl (0.5000, 0.5000, 0.0000) (multiplicity 1)  4 Pb 3.19
In (0.0000, 0.0000, 0.5000) (multiplicity 1)  4 Tl 3.20
Pb (0.0000, 0.5000, 0.8689) (multiplicity 2)  5 Tl 3.19-3.21
Pb (0.5000, 0.5000, 0.5000) (multiplicity 1)  4 Tl 3.20

Entry 10:
VASP calculation (GGA-PBE) on HoZrSc2 after structural relaxation.

Results
E_form	55.9	meV/atom
relative energy among the computed polymorphs	21	meV per atom

Lattice parameters (Å, degrees): 3.3044 3.3044 32.2761 90.00 90.00 120.00
With the nearest neighbours (Å) after each atom.
Space group R-3m (No. 166, hexagonal axes)
Symmetry-distinct sites (fractional):
Ho (0.0000, 0.0000, 0.0000) (multiplicity 3)  6 Ho 3.30, 6 Sc 3.42
Zr (0.0000, 0.0000, 0.5000) (multiplicity 3)  6 Sc 3.17, 6 Zr 3.30
Sc (0.0000, 0.0000, 0.2452) (multiplicity 6)  3 Zr 3.17, 6 Sc 3.30, 3 Ho 3.42

Entry 11:
VASP calculation (GGA-PBE) on Nd3Zn3Cu8 after structural relaxation.

Results
E_form	-206.6	meV/atom

Lattice parameters (Å, degrees): 4.2910 8.9371 12.6424 90.00 90.00 90.00
With the nearest neighbours (Å) after each atom.
Space group Immm (No. 71)
Symmetry-distinct sites (fractional):
Nd (0.0000, 0.0000, 0.0000) (multiplicity 2)  12 Cu 3.00-3.28
Nd (0.0000, 0.0000, 0.2988) (multiplicity 4)  12 Cu 2.99-3.32, 4 Zn 3.15-3.33
Zn (0.0000, 0.2082, 0.5000) (multiplicity 4)  6 Cu 2.51-2.69
Zn (0.0000, 0.5000, 0.0000) (multiplicity 2)  4 Cu 2.53
Cu (0.0000, 0.2820, 0.1280) (multiplicity 8)  3 Cu 2.53-2.66, 3 Zn 2.53-2.69
Cu (0.0000, 0.3566, 0.3314) (multiplicity 8)  1 Zn 2.51, 4 Cu 2.53-2.66

Entry 12:
VASP calculation (GGA-PBE) on TaBr after structural relaxation.

Results
formation energy from raw total energies	288	kJ/mol of formula units

Lattice parameters (Å, degrees): 5.8304 5.8304 5.8304 90.00 90.00 90.00
With the nearest neighbours (Å) after each atom.
Space group F-43m (No. 216)
Symmetry-distinct sites (fractional):
Ta (0.0000, 0.0000, 0.0000) (multiplicity 4)  4 Br 2.52
Br (0.2500, 0.2500, 0.2500) (multiplicity 4)  4 Ta 2.52

In the order shown, the computed N(E_F) values come out to 0.2 7.0 3.1 4.0 1.3 7.4 3.5 8.9 4.8 6.4 8.9 3.0 states/eV/f.u..
In the order shown, the computed total energy values come out to -132.372 -23.722 -113.715 -22.275 -40.817 -328.472 -114.310 -130.911 -25.716 -76.696 -107.575 -42.156 eV for the cell shown.